Entry 1:
First-principles (PBE) data for a relaxed CeNd3Si4 crystal, as listed in the Alexandria database.

```
CeNd3Si4
1.0
4.212 0.000 0.000
0.000 6.368 -0.745
-2.106 -2.263 8.237
Nd Si Ce
3 4 1
direct
0.808 0.808 0.616 Nd
0.000 0.500 0.000 Nd
0.192 0.192 0.384 Nd
0.370 0.553 0.740 Si
0.370 0.187 0.740 Si
0.630 0.447 0.260 Si
0.630 0.813 0.260 Si
0.500 0.000 0.000 Ce
```

Summary:
- uncorrected formation energy (eV per atom) = -0.490
- space-group type = No. 71

=====

Entry 2:
First-principles (PBE) data for a relaxed Dy2TmHf3N6 crystal, as listed in the Alexandria database.

```
Dy2TmHf3N6
1.0
-2.290 -2.204 0.877
3.470 -1.417 5.497
-3.263 6.491 1.597
Hf Tm N Dy
3 1 6 2
direct
0.834 0.167 0.667 Hf
0.166 0.833 0.333 Hf
0.500 0.500 0.000 Hf
0.500 0.000 0.000 Tm
0.995 0.259 0.989 N
0.670 0.068 0.341 N
0.339 0.403 0.678 N
0.330 0.932 0.659 N
0.661 0.597 0.322 N
0.005 0.741 0.011 N
0.167 0.333 0.333 Dy
0.833 0.667 0.667 Dy
```

Summary:
- uncorrected formation energy (eV per atom) = -1.810
- space-group type = No. 12

=====

Entry 3:
First-principles (PBE) data for a relaxed Pm2DyHf crystal, as listed in the Alexandria database.

```
Pm2DyHf
1.0
3.376 0.000 0.000
1.688 2.924 0.000
1.688 0.975 12.159
Dy Hf Pm
1 1 2
direct
0.500 0.500 0.500 Dy
0.000 0.000 0.000 Hf
0.085 0.085 0.744 Pm
0.915 0.915 0.256 Pm
```

Summary:
- formation enthalpy at 0 K (kJ/mol of formula units) = 145
- space-group type = No. 166

=====

Entry 4:
First-principles (PBE) data for a relaxed LiSm5Sb2 crystal, as listed in the Alexandria database.

```
LiSm5Sb2
1.0
4.106 0.000 0.000
-2.053 5.950 0.000
0.000 0.000 18.963
Sb Sm Li
4 10 2
direct
0.763 0.526 0.148 Sb
0.763 0.526 0.352 Sb
0.237 0.474 0.852 Sb
0.237 0.474 0.648 Sb
0.946 0.892 0.613 Sm
0.418 0.835 0.250 Sm
0.054 0.108 0.113 Sm
0.644 0.287 0.529 Sm
0.644 0.287 0.971 Sm
0.582 0.165 0.750 Sm
0.946 0.892 0.887 Sm
0.356 0.713 0.029 Sm
0.356 0.713 0.471 Sm
0.054 0.108 0.387 Sm
0.830 0.661 0.750 Li
0.170 0.339 0.250 Li
```

Summary:
- uncorrected formation energy (eV per atom) = -0.447
- space-group type = No. 63

=====

Number 1: Fermi-level density of states 8.98 states/eV/f.u., total magnetization 0.6 μB/f.u., raw total energy -5.731 eV per atom. Number 2: Fermi-level density of states 2.70 states/eV/f.u., total magnetization 0.0 μB/f.u., raw total energy -9.601 eV per atom. Number 3: Fermi-level density of states 5.72 states/eV/f.u., total magnetization 0.0 μB/f.u., raw total energy -5.638 eV per atom. Number 4: Fermi-level density of states 6.94 states/eV/f.u., total magnetization 0.0 μB/f.u., raw total energy -4.666 eV per atom.